The following is a GGA+U calculation of NaCr2InO8 after structural relaxation, from the Alexandria database.

Summary:
- energy (eV per atom) = -6.18
- total magnetization (μB/f.u.) = 0.00
- calculated volume (Å³/f.u.) = 156

Unit cell a=5.8948 b=5.8948 c=5.8948 alpha=106.02 beta=106.02 gamma=116.62
Sites, in units of the cell vectors:
Na  0.2500  0.7500  0.5000
Cr  0.7500  0.2500  0.5000
Cr  0.5000  0.5000  0.0000
In  0.0000  0.0000  0.0000
O  0.4014  0.0930  0.3084
O  0.3309  0.5137  0.1828
O  0.3309  0.1481  0.8172
O  0.7846  0.0930  0.6916
O  0.8519  0.6691  0.1828
O  0.9070  0.2154  0.3084
O  0.9070  0.5986  0.6916
O  0.4863  0.6691  0.8172